1.
A geometry-optimized KSc2In structure. Source: the Alexandria database, functional PBE.

Space-group type   P4mm, No. 99
D(E_F)   4.22 states/eV/f.u.
DFT formation energy   0.072 eV/atom

Structure (extended XYZ):
```
4
Lattice="-1.775 -1.652 2.515 1.369 -3.045 -1.034 8.987 -1.731 5.205" Properties=species:S:1:pos:R:3 pbc="T T T"
Sc 1.803 -2.003 2.383
Sc 1.867 -2.959 -0.627
K 6.688 -4.440 4.230
In 4.770 -2.460 1.750
```

2.
A geometry-optimized KSc2In structure. Source: the Alexandria database, functional PBE.

Space-group type   I4_1/amd, No. 141
D(E_F)   2.87 states/eV/f.u.
DFT formation energy   0.658 eV/atom

Structure (extended XYZ):
```
8
Lattice="-0.647 3.526 4.494 0.598 -4.456 3.583 10.223 1.106 4.281" Properties=species:S:1:pos:R:3 pbc="T T T"
In 0.000 0.000 0.000
In 4.776 2.084 6.406
K 5.398 -1.907 5.951
K -0.025 -0.465 4.038
Sc 7.177 3.354 7.593
Sc 2.064 2.808 5.453
Sc 7.499 1.598 5.341
Sc 2.364 0.574 7.238
```

3.
A geometry-optimized KSc4In structure. Source: the Alexandria database, functional PBE.

Space-group type   F-43m, No. 216
D(E_F)   6.47 states/eV/f.u.
DFT formation energy   0.362 eV/atom

Structure (extended XYZ):
```
6
Lattice="0.000 4.373 4.373 4.373 0.000 4.373 4.373 4.373 0.000" Properties=species:S:1:pos:R:3 pbc="T T T"
Sc 3.301 5.446 5.446
Sc 5.446 5.446 3.301
Sc 5.446 3.301 5.446
Sc 3.301 3.301 3.301
In 6.560 6.560 6.560
K 0.000 0.000 0.000
```

4.
A geometry-optimized K2Sc2In structure. Source: the Alexandria database, functional PBE.

Space-group type   P4/mbm, No. 127
D(E_F)   4.87 states/eV/f.u.
Energy relative to the lowest polymorph listed for this composition   125 kJ/mol of formula units
DFT formation energy   0.751 eV/atom

Structure (extended XYZ):
```
10
Lattice="11.091 0.000 0.000 0.000 11.091 0.000 0.000 0.000 3.240" Properties=species:S:1:pos:R:3 pbc="T T T"
Sc 0.981 6.527 1.620
Sc 10.110 4.564 1.620
Sc 4.564 0.981 1.620
Sc 6.527 10.110 1.620
In 5.546 5.546 0.000
In 0.000 0.000 0.000
K 3.311 8.856 0.000
K 8.856 7.781 0.000
K 7.781 2.235 0.000
K 2.235 3.311 0.000
```

5.
A geometry-optimized K2ScIn structure. Source: the Alexandria database, functional PBE.

Space-group type   Cm, No. 8
D(E_F)   2.53 states/eV/f.u.
DFT formation energy   0.196 eV/atom

Structure (extended XYZ):
```
4
Lattice="5.285 0.004 -0.008 4.003 3.450 -0.008 0.826 0.307 9.516" Properties=species:S:1:pos:R:3 pbc="T T T"
K 9.120 3.392 0.631
K 7.598 2.826 6.574
In 2.558 0.951 3.092
Sc 5.182 1.927 3.935
```

6.
A geometry-optimized K2ScIn structure. Source: the Alexandria database, functional PBE.

Space-group type   I-42d, No. 122
D(E_F)   2.60 states/eV/f.u.
DFT formation energy   0.496 eV/atom

Structure (extended XYZ):
```
8
Lattice="-2.785 7.301 6.664 -6.670 3.721 -6.865 -6.911 3.658 1.016" Properties=species:S:1:pos:R:3 pbc="T T T"
K -6.111 3.803 -3.523
K -8.410 6.699 1.016
K -13.776 12.566 0.257
K -4.436 6.292 3.880
In -7.212 8.235 3.790
In 0.000 0.000 0.000
Sc -4.728 5.511 -0.101
Sc -9.154 6.445 -2.975
```